1.
Material: CrNiP
Method: DFT, PBE-GGA
State: relaxed

Summary:
Total DFT energy (no corrections), eV per atom: -7.209
Volume, Å³ per atom: 12.05
Space-group type: P2_1/m

The structure in CIF format:
```
data_CrNiP
_symmetry_space_group_name_H-M 'P 1'
_symmetry_Int_Tables_number 1
_cell_length_a 4.4552
_cell_length_b 6.7689
_cell_length_c 6.7689
_cell_angle_alpha 53.77
_cell_angle_beta 64.72
_cell_angle_gamma 64.72
loop_
_symmetry_equiv_pos_as_xyz
'x,y,z'
loop_
_atom_site_label
_atom_site_fract_x
_atom_site_fract_y
_atom_site_fract_z
_atom_site_occupancy
Ni1 0.7390 0.4190 0.6690 1
Ni2 0.7389 0.9190 0.1690 1
Ni3 0.2611 0.0810 0.8310 1
Ni4 0.2610 0.5810 0.3310 1
P1 0.1813 0.9790 0.2290 1
P2 0.8187 0.5210 0.2710 1
P3 0.1813 0.4790 0.7290 1
P4 0.8187 0.0210 0.7710 1
Cr1 0.2467 0.6536 0.9036 1
Cr2 0.7533 0.3464 0.0964 1
Cr3 0.7533 0.8465 0.5964 1
Cr4 0.2467 0.1535 0.4036 1
```

2.
Material: CrNi2P
Method: DFT, PBE-GGA
State: relaxed

Summary:
Total DFT energy (no corrections), eV per atom: -6.775
Volume, Å³ per atom: 11.36
Space-group type: I4/mmm

The structure in CIF format:
```
data_CrNi2P
_symmetry_space_group_name_H-M 'P 1'
_symmetry_Int_Tables_number 1
_cell_length_a 4.4226
_cell_length_b 4.4226
_cell_length_c 4.4226
_cell_angle_alpha 133.00
_cell_angle_beta 133.00
_cell_angle_gamma 68.66
loop_
_symmetry_equiv_pos_as_xyz
'x,y,z'
loop_
_atom_site_label
_atom_site_fract_x
_atom_site_fract_y
_atom_site_fract_z
_atom_site_occupancy
P1 0.2500 0.7500 0.5000 1
Ni1 0.0000 0.0000 0.0000 1
Ni2 0.5000 0.5000 0.0000 1
Cr1 0.7500 0.2500 0.5000 1
```